1.
# Ce2Y6Er3Tm | Alexandria | PBE | relaxed
# Magnetic moment: 1.8 μB/cell
# Formation energy from the elements: 0.636 eV per formula unit
# Space group: No. 12
data_Ce2Y6Er3Tm
_chemical_formula_sum 'Ce2 Y6 Er3 Tm1'
_symmetry_space_group_name_H-M 'P 1'
_symmetry_Int_Tables_number 1
_cell_length_a 6.133
_cell_length_b 6.133
_cell_length_c 11.736
_cell_angle_alpha 95.00
_cell_angle_beta 95.00
_cell_angle_gamma 119.98
loop_
_symmetry_equiv_pos_as_xyz
'x,y,z'
loop_
_atom_site_label
_atom_site_type_symbol
_atom_site_fract_x
_atom_site_fract_y
_atom_site_fract_z
Ce1 Ce 0.166 0.834 0.000
Ce2 Ce 0.834 0.166 0.000
Y1 Y 0.082 0.416 0.751
Y2 Y 0.249 0.249 0.250
Y3 Y 0.416 0.082 0.751
Y4 Y 0.584 0.918 0.249
Y5 Y 0.751 0.751 0.750
Y6 Y 0.918 0.584 0.249
Er1 Er 0.000 0.000 0.500
Er2 Er 0.334 0.666 0.500
Er3 Er 0.666 0.334 0.500
Tm1 Tm 0.500 0.500 0.000


2.
# Ce2UAg | Alexandria | PBE | relaxed
# Magnetic moment: 0.9 μB/cell
# Polymorph energy (0 for the lowest one): 0 meV per atom
# Formation energy from the elements: 0.273 eV per formula unit
# Space group: No. 123
data_Ce2UAg
_chemical_formula_sum 'Ce2 U1 Ag1'
_symmetry_space_group_name_H-M 'P 1'
_symmetry_Int_Tables_number 1
_cell_length_a 5.422
_cell_length_b 5.422
_cell_length_c 3.117
_cell_angle_alpha 90.00
_cell_angle_beta 90.00
_cell_angle_gamma 90.00
loop_
_symmetry_equiv_pos_as_xyz
'x,y,z'
loop_
_atom_site_label
_atom_site_type_symbol
_atom_site_fract_x
_atom_site_fract_y
_atom_site_fract_z
Ce1 Ce 0.000 0.500 0.000
Ce2 Ce 0.500 0.000 0.000
U1 U 0.000 0.000 0.500
Ag1 Ag 0.500 0.500 0.500


3.
# PrPaGa2 | Alexandria | PBE | relaxed
# Magnetic moment: 0.0 μB/cell
# Polymorph energy (0 for the lowest one): 218 meV per atom
# Formation energy from the elements: -0.526 eV per formula unit
# Space group: No. 166
data_PrPaGa2
_chemical_formula_sum 'Pr1 Pa1 Ga2'
_symmetry_space_group_name_H-M 'P 1'
_symmetry_Int_Tables_number 1
_cell_length_a 9.717
_cell_length_b 9.717
_cell_length_c 9.717
_cell_angle_alpha 20.65
_cell_angle_beta 20.65
_cell_angle_gamma 20.65
loop_
_symmetry_equiv_pos_as_xyz
'x,y,z'
loop_
_atom_site_label
_atom_site_type_symbol
_atom_site_fract_x
_atom_site_fract_y
_atom_site_fract_z
Pr1 Pr 0.000 0.000 0.000
Pa1 Pa 0.500 0.500 0.500
Ga1 Ga 0.248 0.248 0.248
Ga2 Ga 0.752 0.752 0.752


4.
# SiSb2O | Alexandria | PBE | relaxed
# Magnetic moment: 0.0 μB/cell
# Polymorph energy (0 for the lowest one): 228 meV per atom
# Formation energy from raw total energies: 215 meV/atom
# Space group: No. 225
data_SiSb2O
_chemical_formula_sum 'Si1 Sb2 O1'
_symmetry_space_group_name_H-M 'P 1'
_symmetry_Int_Tables_number 1
_cell_length_a 4.656
_cell_length_b 4.656
_cell_length_c 4.656
_cell_angle_alpha 60.00
_cell_angle_beta 60.00
_cell_angle_gamma 60.00
loop_
_symmetry_equiv_pos_as_xyz
'x,y,z'
loop_
_atom_site_label
_atom_site_type_symbol
_atom_site_fract_x
_atom_site_fract_y
_atom_site_fract_z
Si1 Si 0.000 0.000 0.000
Sb1 Sb 0.250 0.250 0.250
Sb2 Sb 0.750 0.750 0.750
O1 O 0.500 0.500 0.500


5.
# UAl6 | Alexandria | PBE | relaxed
# Magnetic moment: 3.0 μB/cell
# Formation energy from the elements: 5.227 eV per formula unit
# Space group: No. 229
data_UAl6
_chemical_formula_sum 'U1 Al6'
_symmetry_space_group_name_H-M 'P 1'
_symmetry_Int_Tables_number 1
_cell_length_a 6.123
_cell_length_b 6.123
_cell_length_c 6.123
_cell_angle_alpha 109.47
_cell_angle_beta 109.47
_cell_angle_gamma 109.47
loop_
_symmetry_equiv_pos_as_xyz
'x,y,z'
loop_
_atom_site_label
_atom_site_type_symbol
_atom_site_fract_x
_atom_site_fract_y
_atom_site_fract_z
U1 U 0.000 0.000 0.000
Al1 Al 0.250 0.500 0.750
Al2 Al 0.250 0.750 0.500
Al3 Al 0.500 0.250 0.750
Al4 Al 0.500 0.750 0.250
Al5 Al 0.750 0.250 0.500
Al6 Al 0.750 0.500 0.250


6.
# Np2Ge3Rh5 | Alexandria | PBE | relaxed
# Magnetic moment: 14.1 μB/cell
# Formation energy from the elements: -4.671 eV per formula unit
# Space group: No. 36
data_Np2Ge3Rh5
_chemical_formula_sum 'Np4 Ge6 Rh10'
_symmetry_space_group_name_H-M 'P 1'
_symmetry_Int_Tables_number 1
_cell_length_a 12.685
_cell_length_b 12.685
_cell_length_c 6.554
_cell_angle_alpha 90.00
_cell_angle_beta 90.00
_cell_angle_gamma 161.16
loop_
_symmetry_equiv_pos_as_xyz
'x,y,z'
loop_
_atom_site_label
_atom_site_type_symbol
_atom_site_fract_x
_atom_site_fract_y
_atom_site_fract_z
Np1 Np 0.012 0.988 0.500
Np2 Np 0.326 0.674 0.506
Np3 Np 0.674 0.326 0.006
Np4 Np 0.988 0.012 0.000
Ge1 Ge 0.112 0.888 0.278
Ge2 Ge 0.274 0.726 0.018
Ge3 Ge 0.449 0.551 0.275
Ge4 Ge 0.551 0.449 0.775
Ge5 Ge 0.726 0.274 0.518
Ge6 Ge 0.888 0.112 0.778
Rh1 Rh 0.103 0.897 0.860
Rh2 Rh 0.207 0.793 0.736
Rh3 Rh 0.210 0.790 0.305
Rh4 Rh 0.373 0.627 0.022
Rh5 Rh 0.444 0.556 0.663
Rh6 Rh 0.556 0.444 0.163
Rh7 Rh 0.627 0.373 0.522
Rh8 Rh 0.790 0.210 0.805
Rh9 Rh 0.793 0.207 0.236
Rh10 Rh 0.897 0.103 0.360


7.
# CaTl6Cd2 | Alexandria | PBE | relaxed
# Magnetic moment: 0.0 μB/cell
# Polymorph energy (0 for the lowest one): 0 meV per atom
# Formation energy from the elements: -0.711 eV per formula unit
# Space group: No. 12
data_CaTl6Cd2
_chemical_formula_sum 'Ca1 Tl6 Cd2'
_symmetry_space_group_name_H-M 'P 1'
_symmetry_Int_Tables_number 1
_cell_length_a 5.534
_cell_length_b 5.534
_cell_length_c 9.831
_cell_angle_alpha 90.39
_cell_angle_beta 90.39
_cell_angle_gamma 59.99
loop_
_symmetry_equiv_pos_as_xyz
'x,y,z'
loop_
_atom_site_label
_atom_site_type_symbol
_atom_site_fract_x
_atom_site_fract_y
_atom_site_fract_z
Ca1 Ca 0.000 0.000 0.000
Tl1 Tl 0.000 0.000 0.335
Tl2 Tl 0.000 0.000 0.665
Tl3 Tl 0.333 0.333 0.497
Tl4 Tl 0.333 0.333 0.842
Tl5 Tl 0.667 0.667 0.158
Tl6 Tl 0.667 0.667 0.503
Cd1 Cd 0.333 0.333 0.171
Cd2 Cd 0.667 0.667 0.829


8.
# MgTaSi | Alexandria | PBE | relaxed
# Magnetic moment: 0.0 μB/cell
# Formation energy from raw total energies: 104 meV/atom
# Space group: No. 107
data_MgTaSi
_chemical_formula_sum 'Mg1 Ta1 Si1'
_symmetry_space_group_name_H-M 'P 1'
_symmetry_Int_Tables_number 1
_cell_length_a 6.787
_cell_length_b 6.787
_cell_length_c 6.787
_cell_angle_alpha 155.89
_cell_angle_beta 155.89
_cell_angle_gamma 34.36
loop_
_symmetry_equiv_pos_as_xyz
'x,y,z'
loop_
_atom_site_label
_atom_site_type_symbol
_atom_site_fract_x
_atom_site_fract_y
_atom_site_fract_z
Mg1 Mg 0.000 0.000 0.000
Ta1 Ta 0.317 0.317 0.000
Si1 Si 0.671 0.671 0.000


9.
# K2Ti3Cl9 | Alexandria | PBE | relaxed
# Magnetic moment: 4.0 μB/cell
# Formation energy from raw total energies: -1646 meV/atom
# Space group: No. 12
data_K2Ti3Cl9
_chemical_formula_sum 'K4 Ti6 Cl18'
_symmetry_space_group_name_H-M 'P 1'
_symmetry_Int_Tables_number 1
_cell_length_a 9.897
_cell_length_b 9.897
_cell_length_c 9.668
_cell_angle_alpha 102.49
_cell_angle_beta 102.49
_cell_angle_gamma 117.21
loop_
_symmetry_equiv_pos_as_xyz
'x,y,z'
loop_
_atom_site_label
_atom_site_type_symbol
_atom_site_fract_x
_atom_site_fract_y
_atom_site_fract_z
K1 K 0.064 0.734 0.682
K2 K 0.266 0.936 0.318
K3 K 0.734 0.064 0.682
K4 K 0.936 0.266 0.318
Ti1 Ti 0.264 0.443 0.850
Ti2 Ti 0.357 0.357 0.129
Ti3 Ti 0.443 0.264 0.850
Ti4 Ti 0.557 0.736 0.150
Ti5 Ti 0.643 0.643 0.871
Ti6 Ti 0.736 0.557 0.150
Cl1 Cl 0.003 0.393 0.674
Cl2 Cl 0.097 0.305 0.981
Cl3 Cl 0.189 0.189 0.671
Cl4 Cl 0.215 0.215 0.278
Cl5 Cl 0.302 0.698 0.000
Cl6 Cl 0.305 0.097 0.981
Cl7 Cl 0.392 0.588 0.699
Cl8 Cl 0.393 0.003 0.674
Cl9 Cl 0.412 0.608 0.301
Cl10 Cl 0.588 0.392 0.699
Cl11 Cl 0.607 0.997 0.326
Cl12 Cl 0.608 0.412 0.301
Cl13 Cl 0.695 0.903 0.019
Cl14 Cl 0.698 0.302 0.000
Cl15 Cl 0.785 0.785 0.722
Cl16 Cl 0.811 0.811 0.329
Cl17 Cl 0.903 0.695 0.019
Cl18 Cl 0.997 0.607 0.326